# Sm4Y3, relaxed, DFT PBE
data_Sm4Y3
_space_group_name_H-M_alt 'P 1'
_space_group_IT_number 1
_cell_length_a 5.947
_cell_length_b 9.159
_cell_length_c 5.635
_cell_angle_alpha 112.38
_cell_angle_beta 121.85
_cell_angle_gamma 90.00
loop_
_space_group_symop_operation_xyz
'x,y,z'
loop_
_atom_site_label
_atom_site_fract_x
_atom_site_fract_y
_atom_site_fract_z
_atom_site_occupancy
Sm1 0.860 0.577 0.720 1
Sm2 0.140 0.423 0.280 1
Sm3 0.714 0.141 0.428 1
Sm4 0.286 0.859 0.572 1
Y1 0.000 0.000 0.000 1
Y2 0.568 0.712 0.136 1
Y3 0.432 0.288 0.864 1
# ΔE_f ... 114 meV/atom
# DOS(E_F) ... 15.54 states/eV per cell